# SnGe, optimized geometry, DFT PBE-GGA
data_SnGe
_chemical_formula_sum 'Sn8 Ge8'
_cell_length_a 7.9519
_cell_length_b 7.9537
_cell_length_c 8.9792
_cell_angle_alpha 90.00
_cell_angle_beta 90.00
_cell_angle_gamma 90.00
_space_group_name_H-M_alt 'P 21 21 21'
_space_group_IT_number 19
loop_
_space_group_symop_operation_xyz
'x,y,z'
'-x+1/2,-y,z+1/2'
'x+1/2,-y+1/2,-z'
'-x,y+1/2,-z+1/2'
loop_
_atom_site_label
_atom_site_fract_x
_atom_site_fract_y
_atom_site_fract_z
Sn1 0.1535 0.0937 0.2893
Sn2 0.1925 0.3875 0.9762
Ge1 0.1396 0.4371 0.2706
Ge2 0.1518 0.9061 0.5408
# E ... -4.094 eV/atom

***

# SnGe, optimized geometry, DFT PBE-GGA
data_SnGe
_chemical_formula_sum 'Sn6 Ge6'
_cell_length_a 12.4850
_cell_length_b 4.3348
_cell_length_c 7.6874
_cell_angle_alpha 90.00
_cell_angle_beta 90.00
_cell_angle_gamma 90.00
_space_group_name_H-M_alt 'P m n 21'
_space_group_IT_number 31
loop_
_space_group_symop_operation_xyz
'x,y,z'
'-x+1/2,-y,z+1/2'
'-x,y,z'
'x+1/2,-y,z+1/2'
loop_
_atom_site_label
_atom_site_fract_x
_atom_site_fract_y
_atom_site_fract_z
Sn1 0.0000 0.0156 0.0000
Sn2 0.2066 0.3377 0.7202
Ge1 0.0000 0.5141 0.7818
Ge2 0.2086 0.1616 0.0652
# E ... -4.053 eV/atom

***

| no. | size of the total moment (μB per formula unit) | theoretical density (g cm⁻³) |
| --- | --- | --- |
| 1 | 0.000 | 4.5 |
| 2 | 0.000 | 4.6 |